# 1
Compound: CoAs2Os
Source: Alexandria
Functional: PBE
Structure: optimized geometry

Results
Crystal system: cubic
M_tot (Bohr magnetons per cell): 0.001
Energy of formation from the pure elements (eV per atom): 0.688

Cell lengths 6.1705, 6.1705, 6.1705 Å; angles 90.00, 90.00, 90.00 degrees
Last column: nearest neighbours and their distance in Å.
Space group F-43m (No. 216)
Unique sites:
Co 0.0000 0.0000 0.0000  4 Os 2.67, 4 As 2.67
As 0.0000 0.0000 0.5000  4 As 2.67, 4 Os 2.67
As 0.2500 0.2500 0.7500  4 As 2.67, 4 Co 2.67
Os 0.2500 0.2500 0.2500  4 As 2.67, 4 Co 2.67

# 2
Compound: YGe2BTe
Source: Alexandria
Functional: PBE
Structure: optimized geometry

Results
Crystal system: tetragonal
M_tot (Bohr magnetons per cell): 0.000
Energy relative to the elements, uncorrected (eV/atom): -0.02

Cell lengths 4.3777, 4.3777, 5.4414 Å; angles 90.00, 90.00, 90.00 degrees
Last column: nearest neighbours and their distance in Å.
Space group P4/mmm (No. 123)
Unique sites:
Y 0.0000 0.0000 0.0000  2 B 2.72
Ge 0.0000 0.5000 0.5000  2 B 2.19
B 0.0000 0.0000 0.5000  4 Ge 2.19
Te 0.5000 0.5000 0.0000  4 Y 3.10

# 3
Compound: K4TbCe3Te8
Source: Alexandria
Functional: PBE
Structure: optimized geometry

Results
Crystal system: trigonal
M_tot (Bohr magnetons per cell): 9.022
Energy relative to the elements, uncorrected (eV/atom): -1.36

Cell lengths 9.2487, 9.2487, 24.6691 Å; angles 90.00, 90.00, 120.00 degrees
Last column: nearest neighbours and their distance in Å.
Space group R-3m (No. 166, hexagonal axes)
Unique sites:
K 0.0000 0.0000 0.0000  6 Te 3.61
K 0.0000 0.5000 0.0000  6 Te 3.55
Tb 0.0000 0.0000 0.5000  6 Te 3.14
Ce 0.0000 0.5000 0.5000  6 Te 3.20-3.21
Te 0.0000 0.0000 0.2383  3 Ce 3.20, 3 K 3.55
Te 0.0068 0.5034 0.2373  1 Tb 3.14, 2 Ce 3.21

# 4
Compound: LiAl6Cu5
Source: Alexandria
Functional: PBE
Structure: optimized geometry

Results
Crystal system: orthorhombic
M_tot (Bohr magnetons per cell): 0.000
Energy of formation from the pure elements (eV per atom): -0.153

Cell lengths 3.9645, 11.9842, 6.9100 Å; angles 90.00, 90.00, 90.00 degrees
Last column: nearest neighbours and their distance in Å.
Space group Cmmm (No. 65)
Unique sites:
Li 0.0000 0.0000 0.0000  8 Al 2.66-2.67, 4 Cu 2.79
Al 0.0000 0.1679 0.2521  7 Cu 2.59-2.66, 1 Li 2.66, 4 Al 2.79-2.82
Al 0.0000 0.5000 0.2592  6 Cu 2.59-2.66, 2 Li 2.67, 4 Al 2.82
Cu 0.0000 0.0000 0.5000  8 Al 2.59-2.64, 4 Cu 2.84
Cu 0.0000 0.3300 0.5000  8 Al 2.59-2.63, 4 Cu 2.76-2.84
Cu 0.0000 0.3359 0.0000  8 Al 2.64-2.66, 2 Li 2.79, 2 Cu 2.86

# 5
Compound: LaPrErPu
Source: Alexandria
Functional: PBE
Structure: optimized geometry

Results
Crystal system: cubic
M_tot (Bohr magnetons per cell): 30.849
Energy of formation from the pure elements (eV per atom): 0.207

Cell lengths 8.0804, 8.0804, 8.0804 Å; angles 90.00, 90.00, 90.00 degrees
Last column: nearest neighbours and their distance in Å.
Space group F-43m (No. 216)
Unique sites:
La 0.0000 0.0000 0.0000  4 Er 3.50, 4 Pu 3.50
Pr 0.0000 0.0000 0.5000  4 Er 3.50, 4 Pu 3.50
Er 0.2500 0.2500 0.2500  4 La 3.50, 4 Pr 3.50
Pu 0.2500 0.2500 0.7500  4 La 3.50, 4 Pr 3.50

# 6
Compound: Er2MgCd6
Source: Alexandria
Functional: PBE
Structure: optimized geometry

Results
Crystal system: monoclinic
M_tot (Bohr magnetons per cell): 0.000
Energy of formation from the pure elements (eV per atom): -0.178

Cell lengths 10.6589, 6.1691, 6.5119 Å; angles 90.00, 90.30, 90.00 degrees
Last column: nearest neighbours and their distance in Å.
Space group C2/m (No. 12)
Unique sites:
Er 0.1666 0.0000 0.3728  9 Cd 3.34-3.40, 3 Mg 3.64-3.66
Mg 0.0000 0.5000 0.5000  6 Cd 2.82-2.83
Cd 0.0879 0.2373 0.8261  1 Mg 2.83, 4 Cd 2.93-2.95
Cd 0.1745 0.5000 0.1759  1 Mg 2.82, 4 Cd 2.93-2.94

# 7
Compound: Al2CoCu
Source: Alexandria
Functional: PBE
Structure: optimized geometry

Results
Crystal system: trigonal
M_tot (Bohr magnetons per cell): 1.889
Energy of formation from the pure elements (eV per atom): -0.188

Cell lengths 2.7262, 2.7262, 24.2943 Å; angles 90.00, 90.00, 120.00 degrees
Last column: nearest neighbours and their distance in Å.
Space group R-3m (No. 166, hexagonal axes)
Unique sites:
Al 0.0000 0.0000 0.2448  3 Co 2.47, 3 Cu 2.67, 6 Al 2.73
Co 0.0000 0.0000 0.5000  6 Al 2.47, 6 Co 2.73
Cu 0.0000 0.0000 0.0000  6 Al 2.67, 6 Cu 2.73

# 8
Compound: LaPb2W
Source: Alexandria
Functional: PBE
Structure: optimized geometry

Results
Crystal system: cubic
M_tot (Bohr magnetons per cell): 2.762
Energy of formation from the pure elements (eV per atom): 0.464

Cell lengths 7.3482, 7.3482, 7.3482 Å; angles 90.00, 90.00, 90.00 degrees
Last column: nearest neighbours and their distance in Å.
Space group Fm-3m (No. 225)
Unique sites:
La 0.0000 0.0000 0.0000  8 Pb 3.18
Pb 0.2500 0.2500 0.2500  4 La 3.18, 4 W 3.18
W 0.0000 0.0000 0.5000  8 Pb 3.18

# 9
Compound: GaNiCl6
Source: Alexandria
Functional: PBE
Structure: optimized geometry

Results
Crystal system: monoclinic
M_tot (Bohr magnetons per cell): 3.064
Energy relative to the elements, uncorrected (eV/atom): -0.64

Cell lengths 5.9705, 11.9557, 5.9735 Å; angles 90.00, 110.89, 90.00 degrees
Last column: nearest neighbours and their distance in Å.
Space group C2/m (No. 12)
Unique sites:
Ga 0.0000 0.0000 0.0000  6 Cl 2.39-2.40
Ni 0.0000 0.5000 0.5000  6 Cl 2.26-2.51
Cl 0.2371 0.3672 0.7375  1 Ni 2.26, 1 Ga 2.39
Cl 0.2442 0.0000 0.7555  1 Ga 2.40, 1 Ni 2.51

# 10
Compound: LaTbPm3Sm
Source: Alexandria
Functional: PBE
Structure: optimized geometry

Results
Crystal system: monoclinic
M_tot (Bohr magnetons per cell): 0.000
Energy of formation from the pure elements (eV per atom): 0.019

Cell lengths 8.1487, 5.1765, 10.3189 Å; angles 90.00, 108.46, 90.00 degrees
Last column: nearest neighbours and their distance in Å.
Space group P2_1/m (No. 11)
Unique sites:
La 0.1675 0.2500 0.2911  3 Sm 3.65-3.66, 8 Pm 3.65-3.67, 1 Tb 3.66
Tb 0.4974 0.7500 0.8763  7 Pm 3.59-3.65, 2 Tb 3.63, 2 Sm 3.65, 1 La 3.66
Pm 0.1693 0.2500 0.7929  1 Sm 3.62, 3 Tb 3.62-3.63, 6 Pm 3.64-3.69, 2 La 3.67
Pm 0.1686 0.7500 0.5437  1 Tb 3.62, 3 Sm 3.64-3.66, 5 Pm 3.65-3.69, 3 La 3.66-3.67
Pm 0.1701 0.7500 0.0410  3 Tb 3.59-3.65, 1 Sm 3.63, 5 Pm 3.64-3.69, 3 La 3.65-3.66
Sm 0.4996 0.2500 0.6269  5 Pm 3.62-3.66, 3 La 3.65-3.66, 2 Tb 3.65, 2 Sm 3.68

# 11
Compound: Zr6GaHg
Source: Alexandria
Functional: PBE
Structure: optimized geometry

Results
Crystal system: tetragonal
M_tot (Bohr magnetons per cell): 0.000
Energy of formation from the pure elements (eV per atom): -0.240

Cell lengths 4.4082, 4.4082, 8.7973 Å; angles 90.00, 90.00, 90.00 degrees
Last column: nearest neighbours and their distance in Å.
Space group P4/mmm (No. 123)
Unique sites:
Zr 0.0000 0.0000 0.0000  8 Zr 3.07, 4 Ga 3.12
Zr 0.0000 0.0000 0.5000  4 Hg 3.12, 8 Zr 3.16
Zr 0.0000 0.5000 0.2426  8 Zr 3.07-3.16, 2 Ga 3.07, 2 Hg 3.16
Ga 0.5000 0.5000 0.0000  12 Zr 3.07-3.12
Hg 0.5000 0.5000 0.5000  12 Zr 3.12-3.16

# 12
Compound: KP2H4O8
Source: Alexandria
Functional: PBE
Structure: optimized geometry

Results
Electronic total energy (eV per formula unit): -89.4
Crystal system: monoclinic
M_tot (Bohr magnetons per cell): 4.052

Cell lengths 8.0778, 11.6295, 9.0290 Å; angles 90.00, 102.39, 90.00 degrees
Last column: nearest neighbours and their distance in Å.
Space group P2_1/c (No. 14)
Unique sites:
K 0.2431 0.0959 0.2219  5 O 2.74-3.06
P 0.1602 0.0813 0.7470  4 O 1.52-1.60
P 0.3622 0.7456 0.7125  4 O 1.52-1.57
H 0.0751 0.7292 0.6606  1 O 1.02
H 0.3022 0.5587 0.3820  1 O 1.01
H 0.4516 0.7433 0.4996  1 O 1.04
H 0.4666 0.1006 0.7031  1 O 1.07
O 0.0078 0.5249 0.8368  1 P 1.55
O 0.0960 0.1966 0.7964  1 P 1.54, 1 H 1.56
O 0.1769 0.7463 0.1185  1 H 1.02
O 0.2375 0.0126 0.8998  1 H 1.01
O 0.2904 0.0907 0.6485  1 H 1.41, 1 P 1.52
O 0.4005 0.6158 0.7541  1 H 1.07
O 0.4038 0.6775 0.3523  2 H 1.51-1.66, 1 P 1.52
O 0.4769 0.7137 0.1026  1 H 1.04

# 13
Compound: BaSm2ZnO5
Source: Alexandria
Functional: PBE
Structure: optimized geometry

Results
Crystal system: orthorhombic
M_tot (Bohr magnetons per cell): 0.000
Energy relative to the elements, uncorrected (eV/atom): -2.80

Cell lengths 12.6761, 5.8579, 7.2880 Å; angles 90.00, 90.00, 90.00 degrees
Last column: nearest neighbours and their distance in Å.
Space group Pnma (No. 62)
Unique sites:
Ba 0.0999 0.2500 0.0766  5 O 2.73-2.94
Sm 0.0747 0.7500 0.3984  7 O 2.37-2.43
Sm 0.2078 0.2500 0.6172  7 O 2.37-2.48
Zn 0.1497 0.7500 0.8082  5 O 2.01-2.18
O 0.0659 0.5051 0.6660  1 Zn 2.06
O 0.0986 0.7500 0.0686  1 Zn 2.01
O 0.2245 0.0035 0.3531  1 Zn 2.18, 3 Sm 2.42-2.43